The following is a GGA-PBE calculation of a relaxed structure of Cu3Au, from Alexandria.

Unit cell a=4.6037 b=8.6026 c=5.5300 alpha=90.00 beta=90.00 gamma=90.00
Space group Pnma (No. 62)
Unique sites:
Cu (0.0879, 0.2500, 0.1282) x4
Cu (0.2361, 0.5017, 0.8682) x8
Au (0.0852, 0.2500, 0.6061) x4

- VASP energy (eV/atom) = -3.8834
- ΔE_f (meV/atom) = 8
- total moment (μB per cell) = 0.00

***

The following is a GGA-PBE calculation of a relaxed structure of CuAu2, from Alexandria.

Unit cell a=6.0746 b=6.0746 c=6.0746 alpha=90.00 beta=90.00 gamma=90.00
Space group Pa-3 (No. 205)
Unique sites:
Cu (0.0000, 0.0000, 0.0000) x4
Au (0.1334, 0.6334, 0.8666) x8

- VASP energy (eV/atom) = -3.2104
- ΔE_f (meV/atom) = 340
- energy above the most stable polymorph in this dataset (eV per atom) = 0.383
- total moment (μB per cell) = 0.00

***

The following is a GGA-PBE calculation of a relaxed structure of CuAu3, from Alexandria.

Unit cell a=2.9025 b=2.9025 c=9.2644 alpha=90.00 beta=90.00 gamma=120.00
Space group P-6m2 (No. 187)
Unique sites:
Cu (0.0000, 0.0000, 0.0000) x1
Au (0.0000, 0.0000, 0.5000) x1
Au (0.6667, 0.3333, 0.2284) x2

- VASP energy (eV/atom) = -3.4636
- ΔE_f (meV/atom) = 18
- total moment (μB per cell) = 0.00

***

The following is a GGA-PBE calculation of a relaxed structure of CuAu5, from Alexandria.

Unit cell a=7.7150 b=7.7150 c=7.7150 alpha=90.00 beta=90.00 gamma=90.00
Space group F-43m (No. 216)
Unique sites:
Cu (0.0000, 0.0000, 0.0000) x4
Au (0.1251, 0.1251, 0.6251) x16
Au (0.2500, 0.2500, 0.2500) x4

- VASP energy (eV/atom) = -3.1749
- ΔE_f (meV/atom) = 239
- energy above the most stable polymorph in this dataset (eV per atom) = 0.252
- total moment (μB per cell) = 0.00

***

- The lowest ΔE_f belongs to which entry?
  Cu3Au

***

- Among the records above, which one has the highest VASP energy?
  CuAu5